# ZnFeAu2 (PBE-GGA, relaxed)
# **DFT formation energy**: 0.10 eV per atom
# **Raw total energy**: -3.973 eV/atom
data_ZnFeAu2
_chemical_formula_sum 'Zn4 Fe4 Au8'
_space_group_name_H-M_alt 'F -4 3 m'
_space_group_IT_number 216
_space_group_name_Hall 'F -4 2 3'
_cell_length_a 6.349
_cell_length_b 6.349
_cell_length_c 6.349
_cell_angle_alpha 90.00
_cell_angle_beta 90.00
_cell_angle_gamma 90.00
loop_
_atom_site_label
_atom_site_fract_x
_atom_site_fract_y
_atom_site_fract_z
_atom_site_occupancy
Zn1 0.000 0.000 0.000 1
Fe1 0.250 0.250 0.250 1
Au1 0.000 0.000 0.500 1
Au2 0.250 0.250 0.750 1



# Y2Ti2ZnRh5 (PBE-GGA, relaxed)
# **DFT formation energy**: -0.57 eV per atom
# **Raw total energy**: -7.249 eV/atom
data_Y2Ti2ZnRh5
_chemical_formula_sum 'Y4 Ti4 Zn2 Rh10'
_space_group_name_H-M_alt 'P 4/m b m'
_space_group_IT_number 127
_space_group_name_Hall '-P 4 2ab'
_cell_length_a 10.437
_cell_length_b 10.437
_cell_length_c 3.195
_cell_angle_alpha 90.00
_cell_angle_beta 90.00
_cell_angle_gamma 90.00
loop_
_atom_site_label
_atom_site_fract_x
_atom_site_fract_y
_atom_site_fract_z
_atom_site_occupancy
Y1 0.173 0.327 0.000 1
Ti1 0.132 0.632 0.000 1
Zn1 0.000 0.000 0.000 1
Rh1 0.000 0.500 0.500 1
Rh2 0.054 0.802 0.500 1



Number 1: total magnetization 12.311 μB per cell, volume 15.99 A^3/atom. Number 2: total magnetization 0.000 μB per cell, volume 17.40 A^3/atom.